# PBE+U ZrPaMoO6, optimized geometry
# Spin magnetization (μB/atom): 0.3333
# DFT total energy (eV per atom): -8.93
# N(E_F) (states/eV per atom): 0.000
data_ZrPaMoO6
_symmetry_space_group_name_H-M 'P 1'
_symmetry_Int_Tables_number 1
_symmetry_space_group_name_Hall 'P 1'
_cell_length_a 5.663
_cell_length_b 5.663
_cell_length_c 8.907
_cell_angle_alpha 90.00
_cell_angle_beta 90.00
_cell_angle_gamma 120.00
loop_
_atom_site_label
_atom_site_fract_x
_atom_site_fract_y
_atom_site_fract_z
O1 0.340 0.008 0.130
O2 0.992 0.660 0.370
O3 0.660 0.668 0.630
O4 0.660 0.992 0.870
O5 0.332 0.992 0.630
O6 0.992 0.332 0.130
O7 0.008 0.668 0.870
O8 0.340 0.332 0.370
O9 0.668 0.660 0.130
O10 0.332 0.340 0.870
O11 0.668 0.008 0.370
O12 0.008 0.340 0.630
Zr1 0.667 0.333 0.250
Zr2 0.333 0.667 0.750
Pa1 0.667 0.333 0.750
Pa2 0.333 0.667 0.250
Mo1 0.000 0.000 0.000
Mo2 0.000 0.000 0.500